BaMnRh: relaxed, PBE-GGA.

As for the formation energy: -0.035 eV/atom. The value obtained for the magnetization is 8.351 Bohr magnetons per cell.

It has space group P4/nmm (No. 129, origin choice 2), with a = 4.210 Å, b = 4.210 Å, c = 8.915 Å, α = 90.00°, β = 90.00° and γ = 90.00°. The inequivalent atoms are Ba at (0.250, 0.250, 0.185), Mn at (0.250, 0.750, 0.500) and Rh at (0.250, 0.250, 0.670).